Entry 1:
La3Ag2: optimized geometry, PBE.

Geometry as POSCAR:
```
La3Ag2
1.0
0.000 2.698 10.106
2.694 0.000 10.106
2.694 2.698 0.000
La Ag
3 2
Cartesian
0.000 0.000 0.000 La
2.694 2.698 7.577 La
2.694 2.698 12.635 La
2.694 2.698 4.354 Ag
2.694 2.698 15.858 Ag
```

- energy above the lowest structure with this stoichiometry (meV/atom) = 85
- energy of formation (eV per atom) = -0.1178
- DOS at the Fermi energy (states/eV per cell) = 6.292
- space-group type = No. 69
- total energy (eV per cell) = -21.07

---

Entry 2:
MgMn2Sb: optimized geometry, PBE.

Geometry as POSCAR:
```
MgMn2Sb
1.0
4.644 -1.621 0.000
4.644 1.621 0.000
-1.204 0.000 4.825
Mg Mn Sb
1 2 1
Cartesian
0.000 0.000 0.000 Mg
1.372 0.000 3.635 Mn
6.712 0.000 1.190 Mn
4.042 0.000 2.413 Sb
```

- ΔE_f (raw) (eV per formula unit) = 1.0
- DOS at the Fermi energy (states/eV per cell) = 2.521
- space-group type = No. 12
- total energy (eV per cell) = -23.07

---

Listing total magnetic moment for the structures above in their given order: 0.0; 6.9 Bohr magnetons per cell.